# 1
Computed, not measured: an optimized crystal structure of AuSe2 at the GGA-PBE level of DFT.

The structure in CIF format:
```
data_AuSe2
_space_group_name_H-M_alt 'P -6 2 m'
_space_group_IT_number 189
_space_group_name_Hall 'P -6 -2'
_cell_length_a 7.6560
_cell_length_b 7.6560
_cell_length_c 3.8455
_cell_angle_alpha 90.00
_cell_angle_beta 90.00
_cell_angle_gamma 120.00
loop_
_atom_site_label
_atom_site_type_symbol
_atom_site_fract_x
_atom_site_fract_y
_atom_site_fract_z
Au1 Au 0.0000 0.0000 0.0000
Au2 Au 0.3333 0.6667 0.5000
Se1 Se 0.0000 0.2414 0.5000
Se2 Se 0.0000 0.5075 0.0000
```

Values from the calculation:
Crystal system: hexagonal

***

# 2
Computed, not measured: an optimized crystal structure of AuSe at the GGA-PBE level of DFT.

The structure in CIF format:
```
data_AuSe
_space_group_name_H-M_alt 'C 1 m 1'
_space_group_IT_number 8
_space_group_name_Hall 'C -2y'
_cell_length_a 12.222
_cell_length_b 3.766
_cell_length_c 6.750
_cell_angle_alpha 90.00
_cell_angle_beta 105.35
_cell_angle_gamma 90.00
loop_
_atom_site_label
_atom_site_type_symbol
_atom_site_fract_x
_atom_site_fract_y
_atom_site_fract_z
Au1 Au 0.000 0.000 0.000
Au2 Au 0.000 0.500 0.497
Au3 Au 0.166 0.000 0.464
Se1 Se 0.101 0.500 0.868
Se2 Se 0.297 0.500 0.439
Se3 Se 0.396 0.000 0.124
```

Values from the calculation:
Crystal system: monoclinic

***

# 3
Computed, not measured: an optimized crystal structure of AuSe5 at the GGA-PBE level of DFT.

The structure in CIF format:
```
data_AuSe5
_space_group_name_H-M_alt 'C m m m'
_space_group_IT_number 65
_space_group_name_Hall '-C 2 2'
_cell_length_a 3.707
_cell_length_b 11.269
_cell_length_c 8.657
_cell_angle_alpha 90.00
_cell_angle_beta 90.00
_cell_angle_gamma 90.00
loop_
_atom_site_label
_atom_site_type_symbol
_atom_site_fract_x
_atom_site_fract_y
_atom_site_fract_z
Au1 Au 0.000 0.000 0.000
Se1 Se 0.000 0.167 0.500
Se2 Se 0.000 0.351 0.000
Se3 Se 0.000 0.500 0.500
```

Values from the calculation:
Crystal system: orthorhombic

***

no.,spin magnetization (μB/cell),E_form (uncorrected) (eV per atom)
1,0.000,0.38
2,0.000,0.02
3,0.001,0.20